1.
A plane-wave DFT calculation with PBE was carried out for an optimized crystal structure of KHfOF2.

abc: 4.2927 4.2927 4.7631
angles: 90.00 90.00 90.00
Fractional coordinates of all 5 atoms:
K1 0.0000 0.0000 0.0000
Hf1 0.5000 0.5000 0.5000
O1 0.0000 0.0000 0.5000
F1 0.0000 0.5000 0.0000
F2 0.5000 0.0000 0.0000

- Energy relative to the elements, uncorrected: -649 meV/atom
- Uncorrected energy: -4.60 eV per atom
- Mass density: 5.14 g/cm³
- SG: P4/mmm (123)
- Polymorph energy (0 for the lowest one): 2133 meV per atom

***

2.
A plane-wave DFT calculation with PBE was carried out for an optimized crystal structure of KRbHfF2.

abc: 5.2463 5.2463 6.0123
angles: 90.00 90.00 90.00
Fractional coordinates of all 5 atoms:
K1 0.0000 0.0000 0.0000
Rb1 0.0000 0.0000 0.5000
Hf1 0.5000 0.5000 0.0000
F1 0.0000 0.5000 0.5000
F2 0.5000 0.0000 0.5000

- Energy relative to the elements, uncorrected: -349 meV/atom
- Uncorrected energy: -3.50 eV per atom
- Mass density: 3.42 g/cm³
- SG: P4/mmm (123)

***

3.
A plane-wave DFT calculation with PBE was carried out for an optimized crystal structure of KRbHfF6.

abc: 6.5324 6.5324 10.1084
angles: 90.00 90.00 120.00
Fractional coordinates of all 18 atoms:
K1 0.3333 0.6667 0.2500
K2 0.6667 0.3333 0.7500
Rb1 0.0000 0.0000 0.0000
Rb2 0.0000 0.0000 0.5000
Hf1 0.3333 0.6667 0.7500
Hf2 0.6667 0.3333 0.2500
F1 0.0754 0.4113 0.6396
F2 0.0754 0.6641 0.8604
F3 0.3359 0.4113 0.8604
F4 0.3359 0.9246 0.6396
F5 0.4113 0.0754 0.1396
F6 0.4113 0.3359 0.3604
F7 0.5887 0.6641 0.6396
F8 0.5887 0.9246 0.8604
F9 0.6641 0.0754 0.3604
F10 0.6641 0.5887 0.1396
F11 0.9246 0.3359 0.1396
F12 0.9246 0.5887 0.3604

- Energy relative to the elements, uncorrected: -3477 meV/atom
- Uncorrected energy: -6.06 eV per atom
- Mass density: 3.71 g/cm³
- SG: P-31c (163)

***

4.
A plane-wave DFT calculation with PBE was carried out for an optimized crystal structure of KHfS2F.

abc: 5.0259 5.0259 4.2219
angles: 90.00 90.00 90.00
Fractional coordinates of all 5 atoms:
K1 0.0000 0.0000 0.0000
Hf1 0.5000 0.5000 0.5000
S1 0.0000 0.5000 0.5000
S2 0.5000 0.0000 0.5000
F1 0.5000 0.5000 0.0000

- Energy relative to the elements, uncorrected: -2048 meV/atom
- Uncorrected energy: -6.28 eV per atom
- Mass density: 4.68 g/cm³
- SG: P4/mmm (123)

***

5.
A plane-wave DFT calculation with PBE was carried out for an optimized crystal structure of KHfSe2F.

abc: 5.2862 5.2862 4.2225
angles: 90.00 90.00 90.00
Fractional coordinates of all 5 atoms:
K1 0.0000 0.0000 0.0000
Hf1 0.5000 0.5000 0.5000
Se1 0.0000 0.5000 0.5000
Se2 0.5000 0.0000 0.5000
F1 0.5000 0.5000 0.0000

- Energy relative to the elements, uncorrected: -1898 meV/atom
- Uncorrected energy: -5.88 eV per atom
- Mass density: 5.55 g/cm³
- SG: P4/mmm (123)

***

6.
A plane-wave DFT calculation with PBE was carried out for an optimized crystal structure of K2HfTaF.

abc: 7.1439 7.1439 3.9688
angles: 90.00 90.00 90.00
Fractional coordinates of all 5 atoms:
K1 0.0000 0.5000 0.0000
K2 0.5000 0.0000 0.0000
Hf1 0.0000 0.0000 0.5000
Ta1 0.5000 0.5000 0.0000
F1 0.5000 0.5000 0.5000

- Energy relative to the elements, uncorrected: 977 meV/atom
- Uncorrected energy: -4.20 eV per atom
- Mass density: 3.74 g/cm³
- SG: P4/mmm (123)

***

7.
A plane-wave DFT calculation with PBE was carried out for an optimized crystal structure of KHfTeF2.

abc: 4.4151 4.4151 6.3336
angles: 90.00 90.00 90.00
Fractional coordinates of all 5 atoms:
K1 0.0000 0.0000 0.0000
Hf1 0.0000 0.0000 0.5000
Te1 0.5000 0.5000 0.5000
F1 0.0000 0.5000 0.0000
F2 0.5000 0.0000 0.0000

- Energy relative to the elements, uncorrected: -623 meV/atom
- Uncorrected energy: -4.21 eV per atom
- Mass density: 5.15 g/cm³
- SG: P4/mmm (123)

***

8.
A plane-wave DFT calculation with PBE was carried out for an optimized crystal structure of KHfTe2F.

abc: 5.7233 5.7233 4.2338
angles: 90.00 90.00 90.00
Fractional coordinates of all 5 atoms:
K1 0.0000 0.0000 0.0000
Hf1 0.5000 0.5000 0.5000
Te1 0.0000 0.5000 0.5000
Te2 0.5000 0.0000 0.5000
F1 0.5000 0.5000 0.0000

- Energy relative to the elements, uncorrected: -1559 meV/atom
- Uncorrected energy: -5.40 eV per atom
- Mass density: 5.89 g/cm³
- SG: P4/mmm (123)

***

Which value of energy relative to the elements, uncorrected does entry 1 give?
-649 meV/atom